[1]
Below is TlBi2Rh after structural relaxation, with properties calculated at the PBE level.

Summary:
The energy relative to the lowest polymorph listed for this composition is 37 meV/atom. The density of states at the Fermi level comes out at 2.21 states/eV/f.u. The value obtained for the electronic total energy is -4.43 eV per atom. The calculation puts the formation energy at -61 meV per atom.

CIF file:
```
data_TlBi2Rh
_chemical_formula_sum 'Tl3 Bi6 Rh3'
_space_group_name_H-M_alt 'R 3 m'
_space_group_IT_number 160
_space_group_name_Hall 'R 3 -2"'
_cell_length_a 4.2018
_cell_length_b 4.2018
_cell_length_c 22.7908
_cell_angle_alpha 90.00
_cell_angle_beta 90.00
_cell_angle_gamma 120.00
loop_
_atom_site_label
_atom_site_fract_x
_atom_site_fract_y
_atom_site_fract_z
Tl1 0.0000 0.0000 0.0000
Bi1 0.0000 0.0000 0.5531
Bi2 0.0000 0.0000 0.7712
Rh1 0.0000 0.0000 0.1616
```

=====

[2]
Below is CdSb2Ir after structural relaxation, with properties calculated at the PBE level.

Summary:
The energy relative to the lowest polymorph listed for this composition is 82 meV/atom. The density of states at the Fermi level comes out at 2.15 states/eV/f.u. The value obtained for the electronic total energy is -4.48 eV per atom. As for the formation energy without anion corrections: 0.021 eV/atom.

CIF file:
```
data_CdSb2Ir
_chemical_formula_sum 'Cd2 Sb4 Ir2'
_space_group_name_H-M_alt 'C 1 m 1'
_space_group_IT_number 8
_space_group_name_Hall 'C -2y'
_cell_length_a 10.2615
_cell_length_b 3.1910
_cell_length_c 6.3498
_cell_angle_alpha 90.00
_cell_angle_beta 111.72
_cell_angle_gamma 90.00
loop_
_atom_site_label
_atom_site_fract_x
_atom_site_fract_y
_atom_site_fract_z
Cd1 0.0000 0.0000 0.0000
Sb1 0.1526 0.0000 0.6239
Sb2 0.3482 0.0000 0.3575
Ir1 0.2293 0.5000 0.9921
```